Record 1
CsLi2UCl6: relaxed, PBE-GGA.

Cell: 8.4460 9.3565 9.3565 Å, 88.89 74.59 74.59°
Positions (direct):
Cs (0.2500, 0.9027, 0.0973)
Cs (0.7500, 0.0973, 0.9027)
Li (0.3707, 0.7635, 0.6309)
Li (0.1293, 0.3691, 0.2365)
Li (0.6293, 0.2365, 0.3691)
Li (0.8707, 0.6309, 0.7635)
U (0.2500, 0.2937, 0.7063)
U (0.7500, 0.7063, 0.2937)
Cl (0.2112, 0.0061, 0.7428)
Cl (0.2888, 0.2572, 0.9939)
Cl (0.7888, 0.9939, 0.2572)
Cl (0.7112, 0.7428, 0.0061)
Cl (0.4064, 0.7503, 0.3766)
Cl (0.0936, 0.6234, 0.2497)
Cl (0.5936, 0.2497, 0.6234)
Cl (0.9064, 0.3766, 0.7503)
Cl (0.1812, 0.6049, 0.7377)
Cl (0.3188, 0.2623, 0.3951)
Cl (0.8188, 0.3951, 0.2623)
Cl (0.6812, 0.7377, 0.6049)

Calculated values
VASP energy in eV per cell: -89.68
Theoretical density in g/cm3: 2.9
Size of the total moment in μB/f.u.: 3.00

Record 2
CsLiUCl6: relaxed, PBE-GGA.

Cell: 6.9002 6.8713 7.8354 Å, 89.89 89.79 59.86°
Positions (direct):
Cs (0.0013, 0.9974, 0.0000)
Li (0.3324, 0.3353, 0.5000)
U (0.6670, 0.6660, 0.5000)
Cl (0.9993, 0.3746, 0.3067)
Cl (0.3736, 0.9997, 0.6916)
Cl (0.6260, 0.3746, 0.6933)
Cl (0.0000, 0.6265, 0.6909)
Cl (0.3736, 0.6265, 0.3090)
Cl (0.6266, 0.9996, 0.3084)

Calculated values
VASP energy in eV per cell: -41.79
Theoretical density in g/cm3: 3.1
Size of the total moment in μB/f.u.: 2.00

Record 3
Cs3Li2UCl9: relaxed, PBE-GGA.

Cell: 7.5729 7.5729 9.6594 Å, 90.00 90.00 120.00°
Positions (direct):
Cs (0.3333, 0.6667, 0.3034)
Cs (0.0000, 0.0000, 0.0000)
Cs (0.6667, 0.3333, 0.6966)
Li (0.3333, 0.6667, 0.9112)
Li (0.6667, 0.3333, 0.0888)
U (0.0000, 0.0000, 0.5000)
Cl (0.8370, 0.1630, 0.3419)
Cl (0.8370, 0.6741, 0.3419)
Cl (0.3259, 0.1630, 0.3419)
Cl (0.6741, 0.8370, 0.6581)
Cl (0.1630, 0.3259, 0.6581)
Cl (0.1630, 0.8370, 0.6581)
Cl (0.5000, 0.0000, 0.0000)
Cl (0.0000, 0.5000, 0.0000)
Cl (0.5000, 0.5000, 0.0000)

Calculated values
VASP energy in eV per cell: -62.73
Theoretical density in g/cm3: 3.4
Size of the total moment in μB/f.u.: 2.00

Record 4
CsLi2UCl8: relaxed, PBE-GGA.

Cell: 6.4114 6.4114 12.4698 Å, 75.10 75.10 60.00°
Positions (direct):
Cs (0.5000, 0.5000, 0.5000)
Li (0.2598, 0.2598, 0.2207)
Li (0.7402, 0.7402, 0.7793)
U (0.0000, 0.0000, 0.0000)
Cl (0.1992, 0.1992, 0.4025)
Cl (0.6438, 0.2814, 0.1262)
Cl (0.8008, 0.8008, 0.5975)
Cl (0.9486, 0.6438, 0.1262)
Cl (0.0514, 0.3562, 0.8738)
Cl (0.2814, 0.9486, 0.1262)
Cl (0.7186, 0.0514, 0.8738)
Cl (0.3562, 0.7186, 0.8738)

Calculated values
VASP energy in eV per cell: -51.00
Theoretical density in g/cm3: 2.6
Size of the total moment in μB/f.u.: 0.86

Record 5
Cs2Li2VCl6: relaxed, PBE-GGA.

Cell: 6.6783 6.6783 7.8437 Å, 90.00 90.00 120.00°
Positions (direct):
Cs (0.6667, 0.3333, 0.4996)
Cs (0.3333, 0.6667, 0.5004)
Li (0.3333, 0.6667, 0.0004)
Li (0.6667, 0.3333, 0.9996)
V (0.0000, 0.0000, 0.0000)
Cl (0.9996, 0.3165, 0.8251)
Cl (0.6835, 0.6831, 0.8251)
Cl (0.3169, 0.0004, 0.8251)
Cl (0.0004, 0.6835, 0.1749)
Cl (0.3165, 0.3169, 0.1749)
Cl (0.6831, 0.9996, 0.1749)

Calculated values
VASP energy in eV per cell: -43.56
Theoretical density in g/cm3: 3.0
Size of the total moment in μB/f.u.: 3.00

Record 6
Cs3LiV2Cl9: relaxed, PBE-GGA.

Cell: 7.2086 7.2086 8.8569 Å, 90.00 90.00 120.00°
Positions (direct):
Cs (0.3333, 0.6667, 0.6605)
Cs (0.0000, 0.0000, 0.0000)
Cs (0.6667, 0.3333, 0.3395)
Li (0.0000, 0.0000, 0.5000)
V (0.3333, 0.6667, 0.1671)
V (0.6667, 0.3333, 0.8329)
Cl (0.8259, 0.1741, 0.6793)
Cl (0.8259, 0.6518, 0.6793)
Cl (0.3482, 0.1741, 0.6793)
Cl (0.6518, 0.8259, 0.3207)
Cl (0.1741, 0.3482, 0.3207)
Cl (0.1741, 0.8259, 0.3207)
Cl (0.5000, 0.0000, 0.0000)
Cl (0.0000, 0.5000, 0.0000)
Cl (0.5000, 0.5000, 0.0000)

Calculated values
VASP energy in eV per cell: -63.44
Theoretical density in g/cm3: 3.4
Size of the total moment in μB/f.u.: 5.00